Arrangement P

! BaLuAsO, optimized geometry, DFT GGA-PBE; values from VASP
&SYSTEM
  ibrav = 0, nat = 8, ntyp = 4
/
ATOMIC_SPECIES
Ba 137.33 Ba.upf
Lu 174.97 Lu.upf
As 74.92 As.upf
O 16.00 O.upf
ATOMIC_POSITIONS crystal
Ba 0.2500 0.2500 0.0959
Ba 0.7500 0.7500 0.9041
Lu 0.2500 0.7500 0.5000
Lu 0.7500 0.2500 0.5000
As 0.2500 0.2500 0.6301
As 0.7500 0.7500 0.3699
O 0.2500 0.7500 0.0000
O 0.7500 0.2500 0.0000
CELL_PARAMETERS angstrom
4.8656 0.0000 0.0000
0.0000 4.8656 0.0000
0.0000 0.0000 9.9291
! Space group = P4/nmm (129)


Arrangement Q

! BaLuAsO, optimized geometry, DFT GGA-PBE; values from VASP
&SYSTEM
  ibrav = 0, nat = 8, ntyp = 4
/
ATOMIC_SPECIES
Ba 137.33 Ba.upf
Lu 174.97 Lu.upf
As 74.92 As.upf
O 16.00 O.upf
ATOMIC_POSITIONS crystal
Ba 0.0000 0.5000 0.0000
Ba 0.5000 0.0000 0.0000
Lu 0.0000 0.0000 0.4311
Lu 0.5000 0.5000 0.5712
As 0.0000 0.0000 0.7607
As 0.5000 0.5000 0.2388
O 0.0000 0.5000 0.5004
O 0.5000 0.0000 0.5004
CELL_PARAMETERS angstrom
4.4225 0.0000 0.0000
0.0000 4.4225 0.0000
0.0000 0.0000 9.4470
! Space group = P4mm (99)


Which structure is the least stable? The one labeled arrangement Q.


Arrangement P

! BaMoAs2, optimized geometry, DFT GGA-PBE; values from VASP
&SYSTEM
  ibrav = 0, nat = 8, ntyp = 3
/
ATOMIC_SPECIES
Ba 137.33 Ba.upf
Mo 95.94 Mo.upf
As 74.92 As.upf
ATOMIC_POSITIONS crystal
Ba 0.0984 0.9016 0.7500
Ba 0.9016 0.0984 0.2500
Mo 0.3063 0.6937 0.7500
Mo 0.6937 0.3063 0.2500
As 0.2516 0.7484 0.2500
As 0.4416 0.5584 0.7500
As 0.5584 0.4416 0.2500
As 0.7484 0.2516 0.7500
CELL_PARAMETERS angstrom
2.3814 -8.8227 0.0000
2.3814 8.8227 0.0000
0.0000 0.0000 4.8960
! Space group = Cmcm (63)


Arrangement Q

! BaMoAs2, optimized geometry, DFT GGA-PBE; values from VASP
&SYSTEM
  ibrav = 0, nat = 4, ntyp = 3
/
ATOMIC_SPECIES
Ba 137.33 Ba.upf
Mo 95.94 Mo.upf
As 74.92 As.upf
ATOMIC_POSITIONS crystal
Ba 0.0000 0.0000 0.0000
Mo 0.2500 0.2500 0.2500
As 0.5000 0.5000 0.5000
As 0.7500 0.7500 0.7500
CELL_PARAMETERS angstrom
0.0000 3.5259 3.5259
3.5259 0.0000 3.5259
3.5259 3.5259 0.0000
! Space group = F-43m (216)


Which structure is the least stable? The one labeled arrangement Q.


Arrangement P

! BaNbAsO, optimized geometry, DFT GGA-PBE; values from VASP
&SYSTEM
  ibrav = 0, nat = 8, ntyp = 4
/
ATOMIC_SPECIES
Ba 137.33 Ba.upf
Nb 92.91 Nb.upf
As 74.92 As.upf
O 16.00 O.upf
ATOMIC_POSITIONS crystal
Ba 0.2500 0.2500 0.1242
Ba 0.7500 0.7500 0.8758
Nb 0.2500 0.7500 0.5000
Nb 0.7500 0.2500 0.5000
As 0.2500 0.2500 0.6408
As 0.7500 0.7500 0.3592
O 0.2500 0.7500 0.0000
O 0.7500 0.2500 0.0000
CELL_PARAMETERS angstrom
4.3389 0.0000 0.0000
0.0000 4.3389 0.0000
0.0000 0.0000 10.3737
! Space group = P4/nmm (129)


Arrangement Q

! BaNbAsO, optimized geometry, DFT GGA-PBE; values from VASP
&SYSTEM
  ibrav = 0, nat = 8, ntyp = 4
/
ATOMIC_SPECIES
Ba 137.33 Ba.upf
Nb 92.91 Nb.upf
As 74.92 As.upf
O 16.00 O.upf
ATOMIC_POSITIONS crystal
Ba 0.0000 0.2118 0.0000
Ba 0.0000 0.7882 0.5000
Nb 0.5000 0.4008 0.5753
Nb 0.5000 0.5992 0.0753
As 0.0000 0.2389 0.4967
As 0.0000 0.7611 0.9967
O 0.5000 0.3843 0.8826
O 0.5000 0.6157 0.3826
CELL_PARAMETERS angstrom
4.3981 0.0000 0.0000
0.0000 7.3236 0.0000
0.0000 0.0000 6.5205
! Space group = Pmc2_1 (26)


Which structure is the least stable? The one labeled arrangement P.


Arrangement P

! BaPaAsO, optimized geometry, DFT GGA-PBE; values from VASP
&SYSTEM
  ibrav = 0, nat = 8, ntyp = 4
/
ATOMIC_SPECIES
Ba 137.33 Ba.upf
Pa 231.04 Pa.upf
As 74.92 As.upf
O 16.00 O.upf
ATOMIC_POSITIONS crystal
Ba 0.2500 0.2500 0.0966
Ba 0.7500 0.7500 0.9034
Pa 0.2500 0.7500 0.5000
Pa 0.7500 0.2500 0.5000
As 0.2500 0.2500 0.6636
As 0.7500 0.7500 0.3364
O 0.2500 0.7500 0.0000
O 0.7500 0.2500 0.0000
CELL_PARAMETERS angstrom
4.8826 0.0000 0.0000
0.0000 4.8826 0.0000
0.0000 0.0000 9.7764
! Space group = P4/nmm (129)


Arrangement Q

! BaPaAsO, optimized geometry, DFT GGA-PBE; values from VASP
&SYSTEM
  ibrav = 0, nat = 8, ntyp = 4
/
ATOMIC_SPECIES
Ba 137.33 Ba.upf
Pa 231.04 Pa.upf
As 74.92 As.upf
O 16.00 O.upf
ATOMIC_POSITIONS crystal
Ba 0.2500 0.7500 0.0000
Ba 0.7500 0.2500 0.0000
Pa 0.2500 0.2500 0.3953
Pa 0.7500 0.7500 0.6047
As 0.2500 0.2500 0.7468
As 0.7500 0.7500 0.2532
O 0.2500 0.7500 0.5000
O 0.7500 0.2500 0.5000
CELL_PARAMETERS angstrom
4.4162 0.0000 0.0000
0.0000 4.4162 0.0000
0.0000 0.0000 9.6092
! Space group = P4/nmm (129)


Arrangement R

! BaPaAsO, optimized geometry, DFT GGA-PBE; values from VASP
&SYSTEM
  ibrav = 0, nat = 8, ntyp = 4
/
ATOMIC_SPECIES
Ba 137.33 Ba.upf
Pa 231.04 Pa.upf
As 74.92 As.upf
O 16.00 O.upf
ATOMIC_POSITIONS crystal
Ba 0.0000 0.2006 0.0000
Ba 0.0000 0.7994 0.5000
Pa 0.5000 0.3958 0.5567
Pa 0.5000 0.6042 0.0567
As 0.0000 0.2017 0.4913
As 0.0000 0.7983 0.9913
O 0.5000 0.3665 0.8869
O 0.5000 0.6335 0.3869
CELL_PARAMETERS angstrom
4.6359 0.0000 0.0000
0.0000 8.0414 0.0000
0.0000 0.0000 6.7851
! Space group = Pmc2_1 (26)


Which structure is the least stable? The one labeled arrangement P.


Arrangement P

! BaAsPdO, optimized geometry, DFT GGA-PBE; values from VASP
&SYSTEM
  ibrav = 0, nat = 8, ntyp = 4
/
ATOMIC_SPECIES
Ba 137.33 Ba.upf
As 74.92 As.upf
Pd 106.42 Pd.upf
O 16.00 O.upf
ATOMIC_POSITIONS crystal
Ba 0.2500 0.2500 0.1320
Ba 0.7500 0.7500 0.8680
As 0.2500 0.2500 0.6229
As 0.7500 0.7500 0.3771
Pd 0.2500 0.7500 0.5000
Pd 0.7500 0.2500 0.5000
O 0.2500 0.7500 0.0000
O 0.7500 0.2500 0.0000
CELL_PARAMETERS angstrom
4.4508 0.0000 0.0000
0.0000 4.4508 0.0000
0.0000 0.0000 9.2816
! Space group = P4/nmm (129)


Arrangement Q

! BaAsPdO, optimized geometry, DFT GGA-PBE; values from VASP
&SYSTEM
  ibrav = 0, nat = 8, ntyp = 4
/
ATOMIC_SPECIES
Ba 137.33 Ba.upf
As 74.92 As.upf
Pd 106.42 Pd.upf
O 16.00 O.upf
ATOMIC_POSITIONS crystal
Ba 0.2500 0.7500 0.0000
Ba 0.7500 0.2500 0.0000
As 0.2500 0.2500 0.4970
As 0.7500 0.7500 0.5030
Pd 0.2500 0.2500 0.9963
Pd 0.7500 0.7500 0.0037
O 0.2500 0.7500 0.5000
O 0.7500 0.2500 0.5000
CELL_PARAMETERS angstrom
5.7188 0.0000 0.0000
0.0000 5.7188 0.0000
0.0000 0.0000 5.0082
! Space group = P4/nmm (129)


Arrangement R

! BaAsPdO, optimized geometry, DFT GGA-PBE; values from VASP
&SYSTEM
  ibrav = 0, nat = 8, ntyp = 4
/
ATOMIC_SPECIES
Ba 137.33 Ba.upf
As 74.92 As.upf
Pd 106.42 Pd.upf
O 16.00 O.upf
ATOMIC_POSITIONS crystal
Ba 0.0000 0.1910 0.0000
Ba 0.0000 0.8090 0.5000
As 0.5000 0.4180 0.6855
As 0.5000 0.5820 0.1855
Pd 0.5000 0.2676 0.3839
Pd 0.5000 0.7324 0.8839
O 0.0000 0.1734 0.3549
O 0.0000 0.8266 0.8549
CELL_PARAMETERS angstrom
3.9865 0.0000 0.0000
0.0000 6.3357 0.0000
0.0000 0.0000 7.3502
! Space group = Pmc2_1 (26)


Arrangement S

! BaAsPdO, optimized geometry, DFT GGA-PBE; values from VASP
&SYSTEM
  ibrav = 0, nat = 8, ntyp = 4
/
ATOMIC_SPECIES
Ba 137.33 Ba.upf
As 74.92 As.upf
Pd 106.42 Pd.upf
O 16.00 O.upf
ATOMIC_POSITIONS crystal
Ba 0.2500 0.7500 0.0000
Ba 0.7500 0.2500 0.0000
As 0.2500 0.2500 0.2579
As 0.7500 0.7500 0.7421
Pd 0.2500 0.2500 0.5608
Pd 0.7500 0.7500 0.4392
O 0.2500 0.7500 0.5000
O 0.7500 0.2500 0.5000
CELL_PARAMETERS angstrom
4.7861 0.0000 0.0000
0.0000 4.7861 0.0000
0.0000 0.0000 7.6727
! Space group = P4/nmm (129)


Which structure is the least stable? The one labeled arrangement S.


Arrangement P

! BaAsPtO, optimized geometry, DFT GGA-PBE; values from VASP
&SYSTEM
  ibrav = 0, nat = 8, ntyp = 4
/
ATOMIC_SPECIES
Ba 137.33 Ba.upf
As 74.92 As.upf
Pt 195.08 Pt.upf
O 16.00 O.upf
ATOMIC_POSITIONS crystal
Ba 0.2500 0.7500 0.0000
Ba 0.7500 0.2500 0.0000
As 0.2500 0.2500 0.4918
As 0.7500 0.7500 0.5082
Pt 0.2500 0.2500 0.9897
Pt 0.7500 0.7500 0.0103
O 0.2500 0.7500 0.5000
O 0.7500 0.2500 0.5000
CELL_PARAMETERS angstrom
5.9412 0.0000 0.0000
0.0000 5.9412 0.0000
0.0000 0.0000 4.9116
! Space group = P4/nmm (129)


Arrangement Q

! BaAsPtO, optimized geometry, DFT GGA-PBE; values from VASP
&SYSTEM
  ibrav = 0, nat = 8, ntyp = 4
/
ATOMIC_SPECIES
Ba 137.33 Ba.upf
As 74.92 As.upf
Pt 195.08 Pt.upf
O 16.00 O.upf
ATOMIC_POSITIONS crystal
Ba 0.0000 0.2058 0.0000
Ba 0.0000 0.7942 0.5000
As 0.5000 0.2778 0.6565
As 0.5000 0.7222 0.1565
Pt 0.5000 0.3233 0.3476
Pt 0.5000 0.6767 0.8476
O 0.0000 0.2428 0.3256
O 0.0000 0.7572 0.8256
CELL_PARAMETERS angstrom
4.0925 0.0000 0.0000
0.0000 4.9962 0.0000
0.0000 0.0000 8.1104
! Space group = Pmc2_1 (26)


Arrangement R

! BaAsPtO, optimized geometry, DFT GGA-PBE; values from VASP
&SYSTEM
  ibrav = 0, nat = 8, ntyp = 4
/
ATOMIC_SPECIES
Ba 137.33 Ba.upf
As 74.92 As.upf
Pt 195.08 Pt.upf
O 16.00 O.upf
ATOMIC_POSITIONS crystal
Ba 0.0000 0.1369 0.0000
Ba 0.0000 0.8631 0.5000
As 0.0000 0.4636 0.3952
As 0.0000 0.5364 0.8952
Pt 0.5000 0.2777 0.4873
Pt 0.5000 0.7223 0.9873
O 0.5000 0.0717 0.6669
O 0.5000 0.9283 0.1669
CELL_PARAMETERS angstrom
3.4719 0.0000 0.0000
0.0000 8.6378 0.0000
0.0000 0.0000 5.7400
! Space group = Pmc2_1 (26)


Which structure is the least stable? The one labeled arrangement P.


Arrangement P

! BaReAsO, optimized geometry, DFT GGA-PBE; values from VASP
&SYSTEM
  ibrav = 0, nat = 8, ntyp = 4
/
ATOMIC_SPECIES
Ba 137.33 Ba.upf
Re 186.21 Re.upf
As 74.92 As.upf
O 16.00 O.upf
ATOMIC_POSITIONS crystal
Ba 0.2500 0.7500 0.0000
Ba 0.7500 0.2500 0.0000
Re 0.2500 0.2500 0.4168
Re 0.7500 0.7500 0.5832
As 0.2500 0.2500 0.7100
As 0.7500 0.7500 0.2900
O 0.2500 0.7500 0.5000
O 0.7500 0.2500 0.5000
CELL_PARAMETERS angstrom
4.3005 0.0000 0.0000
0.0000 4.3005 0.0000
0.0000 0.0000 8.2365
! Space group = P4/nmm (129)


Arrangement Q

! BaReAsO, optimized geometry, DFT GGA-PBE; values from VASP
&SYSTEM
  ibrav = 0, nat = 8, ntyp = 4
/
ATOMIC_SPECIES
Ba 137.33 Ba.upf
Re 186.21 Re.upf
As 74.92 As.upf
O 16.00 O.upf
ATOMIC_POSITIONS crystal
Ba 0.2500 0.2500 0.1363
Ba 0.7500 0.7500 0.8637
Re 0.2500 0.7500 0.5000
Re 0.7500 0.2500 0.5000
As 0.2500 0.2500 0.6471
As 0.7500 0.7500 0.3529
O 0.2500 0.7500 0.0000
O 0.7500 0.2500 0.0000
CELL_PARAMETERS angstrom
3.9818 0.0000 0.0000
0.0000 3.9818 0.0000
0.0000 0.0000 10.9613
! Space group = P4/nmm (129)


Arrangement R

! BaReAsO, optimized geometry, DFT GGA-PBE; values from VASP
&SYSTEM
  ibrav = 0, nat = 8, ntyp = 4
/
ATOMIC_SPECIES
Ba 137.33 Ba.upf
Re 186.21 Re.upf
As 74.92 As.upf
O 16.00 O.upf
ATOMIC_POSITIONS crystal
Ba 0.0000 0.2136 0.0000
Ba 0.0000 0.7864 0.5000
Re 0.5000 0.4039 0.5872
Re 0.5000 0.5961 0.0872
As 0.0000 0.2495 0.4995
As 0.0000 0.7505 0.9995
O 0.5000 0.3953 0.8806
O 0.5000 0.6047 0.3806
CELL_PARAMETERS angstrom
4.2106 0.0000 0.0000
0.0000 7.1596 0.0000
0.0000 0.0000 6.5829
! Space group = Pmc2_1 (26)


Arrangement S

! BaReAsO, optimized geometry, DFT GGA-PBE; values from VASP
&SYSTEM
  ibrav = 0, nat = 8, ntyp = 4
/
ATOMIC_SPECIES
Ba 137.33 Ba.upf
Re 186.21 Re.upf
As 74.92 As.upf
O 16.00 O.upf
ATOMIC_POSITIONS crystal
Ba 0.0000 0.1908 0.0000
Ba 0.0000 0.8092 0.5000
Re 0.5000 0.3186 0.3482
Re 0.5000 0.6814 0.8482
As 0.5000 0.3088 0.6566
As 0.5000 0.6912 0.1566
O 0.0000 0.2925 0.3427
O 0.0000 0.7075 0.8427
CELL_PARAMETERS angstrom
3.8978 0.0000 0.0000
0.0000 5.1791 0.0000
0.0000 0.0000 8.1322
! Space group = Pmc2_1 (26)


Which structure is the least stable? The one labeled arrangement P.


Arrangement P

! BaZn2As2O8, optimized geometry, DFT GGA-PBE; values from VASP
&SYSTEM
  ibrav = 0, nat = 52, ntyp = 4
/
ATOMIC_SPECIES
Ba 137.33 Ba.upf
Zn 65.41 Zn.upf
As 74.92 As.upf
O 16.00 O.upf
ATOMIC_POSITIONS crystal
Ba 0.2484 0.0852 0.1139
Ba 0.2484 0.4148 0.6139
Ba 0.7516 0.5852 0.3861
Ba 0.7516 0.9148 0.8861
Zn 0.0829 0.6845 0.0539
Zn 0.0829 0.8155 0.5539
Zn 0.4282 0.0750 0.7220
Zn 0.4282 0.4250 0.2220
Zn 0.5718 0.5750 0.7780
Zn 0.5718 0.9250 0.2780
Zn 0.9171 0.1845 0.4461
Zn 0.9171 0.3155 0.9461
As 0.0590 0.0855 0.7461
As 0.0590 0.4145 0.2461
As 0.4467 0.7011 0.0641
As 0.4467 0.7989 0.5641
As 0.5533 0.2011 0.4359
As 0.5533 0.2989 0.9359
As 0.9410 0.5855 0.7539
As 0.9410 0.9145 0.2539
O 0.0139 0.0650 0.3094
O 0.0139 0.4350 0.8094
O 0.0597 0.6296 0.6177
O 0.0597 0.8704 0.1177
O 0.0636 0.1985 0.6098
O 0.0636 0.3015 0.1098
O 0.2369 0.0760 0.8253
O 0.2369 0.4240 0.3253
O 0.2833 0.6379 0.9895
O 0.2833 0.8621 0.4895
O 0.4100 0.1907 0.5573
O 0.4100 0.3093 0.0573
O 0.4346 0.6345 0.6156
O 0.4346 0.8655 0.1156
O 0.4950 0.1071 0.2896
O 0.4950 0.3929 0.7896
O 0.5050 0.6071 0.2104
O 0.5050 0.8929 0.7104
O 0.5654 0.1345 0.8844
O 0.5654 0.3655 0.3844
O 0.5900 0.6907 0.9427
O 0.5900 0.8093 0.4427
O 0.7167 0.1379 0.5105
O 0.7167 0.3621 0.0105
O 0.7631 0.5760 0.6747
O 0.7631 0.9240 0.1747
O 0.9364 0.6985 0.8902
O 0.9364 0.8015 0.3902
O 0.9403 0.1296 0.8823
O 0.9403 0.3704 0.3823
O 0.9861 0.5650 0.1906
O 0.9861 0.9350 0.6906
CELL_PARAMETERS angstrom
8.8141 0.0000 0.0000
0.0000 10.0148 0.0000
-0.2393 0.0000 9.3182
! Space group = P2_1/c (14)


Arrangement Q

! BaZn2As2O8, optimized geometry, DFT GGA-PBE; values from VASP
&SYSTEM
  ibrav = 0, nat = 13, ntyp = 4
/
ATOMIC_SPECIES
Ba 137.33 Ba.upf
Zn 65.41 Zn.upf
As 74.92 As.upf
O 16.00 O.upf
ATOMIC_POSITIONS crystal
Ba 0.0000 0.0000 0.0000
Zn 0.1725 0.1725 0.1725
Zn 0.8275 0.8275 0.8275
As 0.4224 0.4224 0.4224
As 0.5776 0.5776 0.5776
O 0.1261 0.4304 0.7817
O 0.2183 0.8739 0.5696
O 0.3489 0.3489 0.3489
O 0.4304 0.7817 0.1261
O 0.5696 0.2183 0.8739
O 0.6511 0.6511 0.6511
O 0.7817 0.1261 0.4304
O 0.8739 0.5696 0.2183
CELL_PARAMETERS angstrom
2.5144 1.4517 7.6355
-2.5144 1.4517 7.6355
0.0000 -2.9033 7.6355
! Space group = R-3 (148)


Which structure is the least stable? The one labeled arrangement Q.